[1]
# PBE-GGA La3Tb4Pr2, relaxed
data_La3Tb4Pr2
_cell_length_a 16.742
_cell_length_b 11.973
_cell_length_c 6.238
_cell_angle_alpha 90.00
_cell_angle_beta 97.77
_cell_angle_gamma 90.00
_space_group_name_H-M_alt 'C 1 2/c 1'
_space_group_IT_number 15
_space_group_name_Hall '-C 2yc'
loop_
_atom_site_label
_atom_site_type_symbol
_atom_site_fract_x
_atom_site_fract_y
_atom_site_fract_z
La1 La 0.000 0.127 0.250
La2 La 0.163 0.367 0.090
Tb1 Tb 0.055 0.381 0.536
Tb2 Tb 0.227 0.122 0.361
Pr1 Pr 0.114 0.129 0.796
# - Formation enthalpy at 0 K: 0.090 eV/atom
# - E above lowest polymorph: 64 meV per atom
# - M_tot: 0.00 μB/f.u.
# - Raw total energy: -4.672 eV per atom

[2]
# PBE-GGA LaTb7Pr2, relaxed
data_LaTb7Pr2
_cell_length_a 6.246
_cell_length_b 6.259
_cell_length_c 9.557
_cell_angle_alpha 102.57
_cell_angle_beta 108.94
_cell_angle_gamma 99.59
_space_group_name_H-M_alt 'P -1'
_space_group_IT_number 2
_space_group_name_Hall '-P 1'
loop_
_atom_site_label
_atom_site_type_symbol
_atom_site_fract_x
_atom_site_fract_y
_atom_site_fract_z
La1 La 0.000 0.000 0.000
Tb1 Tb 0.000 0.500 0.500
Tb2 Tb 0.198 0.999 0.401
Tb3 Tb 0.203 0.500 0.899
Tb4 Tb 0.397 0.999 0.798
Pr1 Pr 0.400 0.501 0.300
# - Formation enthalpy at 0 K: 0.021 eV/atom
# - E above lowest polymorph: 0 meV per atom
# - M_tot: 0.00 μB/f.u.
# - Raw total energy: -4.669 eV per atom

[3]
# PBE-GGA LaTb2Pr, relaxed
data_LaTb2Pr
_cell_length_a 3.673
_cell_length_b 3.673
_cell_length_c 10.164
_cell_angle_alpha 90.00
_cell_angle_beta 90.00
_cell_angle_gamma 90.00
_space_group_name_H-M_alt 'P 4/m m m'
_space_group_IT_number 123
_space_group_name_Hall '-P 4 2'
loop_
_atom_site_label
_atom_site_type_symbol
_atom_site_fract_x
_atom_site_fract_y
_atom_site_fract_z
La1 La 0.000 0.000 0.000
Tb1 Tb 0.500 0.500 0.251
Pr1 Pr 0.000 0.000 0.500
# - Formation enthalpy at 0 K: 0.022 eV/atom
# - E above lowest polymorph: 12 meV per atom
# - M_tot: 0.00 μB/f.u.
# - Raw total energy: -4.719 eV per atom

[4]
# PBE-GGA LaTb7Pr2, relaxed
data_LaTb7Pr2
_cell_length_a 8.671
_cell_length_b 16.901
_cell_length_c 5.463
_cell_angle_alpha 90.00
_cell_angle_beta 90.00
_cell_angle_gamma 90.00
_space_group_name_H-M_alt 'C m m m'
_space_group_IT_number 65
_space_group_name_Hall '-C 2 2'
loop_
_atom_site_label
_atom_site_type_symbol
_atom_site_fract_x
_atom_site_fract_y
_atom_site_fract_z
La1 La 0.000 0.000 0.000
Tb1 Tb 0.000 0.211 0.000
Tb2 Tb 0.000 0.500 0.500
Tb3 Tb 0.178 0.112 0.500
Pr1 Pr 0.000 0.297 0.500
# - Formation enthalpy at 0 K: 0.660 eV/atom
# - E above lowest polymorph: 640 meV per atom
# - M_tot: 0.00 μB/f.u.
# - Raw total energy: -4.030 eV per atom

[5]
# PBE-GGA La7Tb3Pr, relaxed
data_La7Tb3Pr
_cell_length_a 6.529
_cell_length_b 7.879
_cell_length_c 7.889
_cell_angle_alpha 82.07
_cell_angle_beta 85.26
_cell_angle_gamma 85.33
_space_group_name_H-M_alt 'P -1'
_space_group_IT_number 2
_space_group_name_Hall '-P 1'
loop_
_atom_site_label
_atom_site_type_symbol
_atom_site_fract_x
_atom_site_fract_y
_atom_site_fract_z
La1 La 0.000 0.000 0.000
La2 La 0.212 0.265 0.265
La3 La 0.265 0.565 0.925
La4 La 0.265 0.926 0.566
Tb1 Tb 0.001 0.668 0.332
Tb2 Tb 0.500 0.500 0.500
Pr1 Pr 0.500 0.000 0.000
# - Formation enthalpy at 0 K: 0.206 eV/atom
# - E above lowest polymorph: 35 meV per atom
# - M_tot: 0.00 μB/f.u.
# - Raw total energy: -4.627 eV per atom

[6]
# PBE-GGA La3TbPr7, relaxed
data_La3TbPr7
_cell_length_a 6.060
_cell_length_b 11.527
_cell_length_c 11.657
_cell_angle_alpha 90.00
_cell_angle_beta 90.00
_cell_angle_gamma 90.00
_space_group_name_H-M_alt 'I m m m'
_space_group_IT_number 71
_space_group_name_Hall '-I 2 2'
loop_
_atom_site_label
_atom_site_type_symbol
_atom_site_fract_x
_atom_site_fract_y
_atom_site_fract_z
La1 La 0.000 0.000 0.000
La2 La 0.000 0.288 0.500
Tb1 Tb 0.000 0.500 0.000
Pr1 Pr 0.000 0.000 0.500
Pr2 Pr 0.000 0.205 0.198
Pr3 Pr 0.000 0.500 0.291
# - Formation enthalpy at 0 K: 0.214 eV/atom
# - E above lowest polymorph: 6 meV per atom
# - M_tot: 0.00 μB/f.u.
# - Raw total energy: -4.592 eV per atom

- Which of these has the lowest E above lowest polymorph?
  number 2